Below is a relaxed structure of DyWIO4, with properties calculated at the PBE with a Hubbard U level. Values from VASP.

Cell and atoms, written as Quantum ESPRESSO input:
```
&SYSTEM
  ibrav = 0, nat = 14, ntyp = 4
/
ATOMIC_SPECIES
I 126.90 I.upf
W 183.84 W.upf
Dy 162.50 Dy.upf
O 16.00 O.upf
ATOMIC_POSITIONS angstrom
I 1.110 1.051 1.008
I -0.668 12.403 4.997
W -0.336 4.560 1.791
W 0.779 8.895 4.213
Dy -2.627 7.940 2.096
Dy 3.070 5.515 3.908
O -0.739 8.542 3.301
O 1.870 7.449 4.138
O 1.618 10.410 3.607
O -0.004 4.049 0.060
O 0.447 9.405 5.945
O 1.182 4.912 2.703
O -1.176 3.044 2.398
O -1.427 6.006 1.866
CELL_PARAMETERS angstrom
-0.650 6.229 -1.995
-3.684 3.626 4.060
4.776 3.599 3.940
```

Summary:
The total energy is -48.9 eV/f.u.